# 1
# BaAgP2 | the Alexandria database | PBE | optimized geometry
data_BaAgP2
_chemical_formula_sum 'Ba1 Ag1 P2'
_cell_length_a 4.1193
_cell_length_b 4.8548
_cell_length_c 5.3797
_cell_angle_alpha 89.96
_cell_angle_beta 90.00
_cell_angle_gamma 90.00
_space_group_name_H-M_alt 'P 1'
_space_group_IT_number 1
_space_group_name_Hall 'P 1'
loop_
_atom_site_label
_atom_site_type_symbol
_atom_site_fract_x
_atom_site_fract_y
_atom_site_fract_z
Ag1 Ag 0.5000 0.2500 0.2500
Ba1 Ba 0.5000 0.7500 0.7500
P1 P 0.0000 0.2497 0.9522
P2 P 0.0000 0.2503 0.5478
# ρ in g/cm3: 4.74
# SG: No. 47
# Calculated formation energy in eV/atom: -0.485

---

# 2
# CeEr2Au | the Alexandria database | PBE | optimized geometry
data_CeEr2Au
_chemical_formula_sum 'Ce1 Er2 Au1'
_cell_length_a 3.5792
_cell_length_b 3.5792
_cell_length_c 8.2963
_cell_angle_alpha 90.00
_cell_angle_beta 90.00
_cell_angle_gamma 90.00
_space_group_name_H-M_alt 'P 1'
_space_group_IT_number 1
_space_group_name_Hall 'P 1'
loop_
_atom_site_label
_atom_site_type_symbol
_atom_site_fract_x
_atom_site_fract_y
_atom_site_fract_z
Au1 Au 0.5000 0.5000 0.0000
Ce1 Ce 0.5000 0.5000 0.5000
Er1 Er 0.0000 0.0000 0.7921
Er2 Er 0.0000 0.0000 0.2079
# ρ in g/cm3: 10.49
# SG: No. 123
# Calculated formation energy in eV/atom: -0.377